# 1
Computed, not measured: crystalline Ho5Fe2Cu at its relaxed geometry at the GGA-PBE level of DFT.

## Properties
Its total energy is -5.554 eV per atom. For the formation enthalpy at 0 K, the calculation gives -65 meV/atom.

Cell lengths 7.2208, 7.2208, 8.6907 Å; angles 114.55, 114.55, 90.00 degrees
With the nearest neighbours (Å) after each atom.
Fractional coordinates of all 16 atoms:
Ho 0.5344 0.6843 0.7187  3 Fe 2.89-2.97, 2 Cu 3.08
Ho 0.8157 0.9656 0.2813  3 Fe 2.89-2.97, 2 Cu 3.08
Ho 0.0000 0.0000 0.0000  4 Fe 2.93
Ho 0.5000 0.5000 0.0000  4 Fe 2.93
Ho 0.1843 0.0344 0.7187  3 Fe 2.89-2.97, 2 Cu 3.08
Ho 0.6843 0.1843 0.7187  3 Fe 2.89-2.97, 2 Cu 3.08
Ho 0.0344 0.5344 0.7187  3 Fe 2.89-2.97, 2 Cu 3.08
Ho 0.3157 0.8157 0.2813  3 Fe 2.89-2.97, 2 Cu 3.08
Ho 0.9656 0.4656 0.2813  3 Fe 2.89-2.97, 2 Cu 3.08
Ho 0.4656 0.3157 0.2813  3 Fe 2.89-2.97, 2 Cu 3.08
Fe 0.1082 0.3918 0.0000  1 Fe 2.21
Fe 0.6082 0.1082 0.0000  1 Fe 2.21
Fe 0.3918 0.8918 0.0000  1 Fe 2.21
Fe 0.8918 0.6082 0.0000  1 Fe 2.21
Cu 0.7500 0.7500 0.5000  8 Ho 3.08
Cu 0.2500 0.2500 0.5000  8 Ho 3.08

---

# 2
Computed, not measured: crystalline GdB2Os at its relaxed geometry at the GGA-PBE level of DFT.

## Properties
Its total energy is -10.192 eV per atom. For the formation enthalpy at 0 K, the calculation gives -525 meV/atom. The value obtained for the offset from the most stable computed form is 0.0 meV per atom.

Cell lengths 5.3482, 5.9305, 6.4216 Å; angles 90.00, 90.00, 90.00 degrees
With the nearest neighbours (Å) after each atom.
Fractional coordinates of all 16 atoms:
Gd 0.2500 0.0098 0.3370  6 B 2.64-2.72
Gd 0.2500 0.5098 0.1630  6 B 2.64-2.72
Gd 0.7500 0.9902 0.6630  6 B 2.64-2.72
Gd 0.7500 0.4902 0.8370  6 B 2.64-2.72
B 0.0828 0.3667 0.5399  2 B 1.79-1.88
B 0.4172 0.8667 0.9601  2 B 1.79-1.88
B 0.5828 0.6333 0.4601  2 B 1.79-1.88
B 0.9172 0.1333 0.0399  2 B 1.79-1.88
B 0.9172 0.6333 0.4601  2 B 1.79-1.88
B 0.5828 0.1333 0.0399  2 B 1.79-1.88
B 0.4172 0.3667 0.5399  2 B 1.79-1.88
B 0.0828 0.8667 0.9601  2 B 1.79-1.88
Os 0.2500 0.1789 0.8168  6 B 2.25-2.30
Os 0.2500 0.6789 0.6832  6 B 2.25-2.30
Os 0.7500 0.8211 0.1832  6 B 2.25-2.30
Os 0.7500 0.3211 0.3168  6 B 2.25-2.30

---

# 3
Computed, not measured: crystalline RbGeSe3 at its relaxed geometry at the GGA-PBE level of DFT.

## Properties
The uncorrected formation energy is -0.471 eV per atom. Its total energy is -3.679 eV per atom.

Cell lengths 7.0021, 8.2331, 10.9195 Å; angles 90.00, 90.00, 83.56 degrees
With the nearest neighbours (Å) after each atom.
Fractional coordinates of all 20 atoms:
Rb 0.7829 0.7400 0.6050  6 Se 3.42-3.78
Rb 0.2171 0.2600 0.3950  6 Se 3.42-3.78
Rb 0.7171 0.2600 0.1050  6 Se 3.42-3.78
Rb 0.2829 0.7400 0.8950  6 Se 3.42-3.78
Ge 0.9656 0.2149 0.7591  4 Se 2.52-2.80
Ge 0.4656 0.2149 0.7409  4 Se 2.52-2.80
Ge 0.5344 0.7851 0.2591  4 Se 2.52-2.80
Ge 0.0344 0.7851 0.2409  4 Se 2.52-2.80
Se 0.2693 0.9385 0.6164  1 Se 2.37
Se 0.1838 0.4190 0.6844  2 Ge 2.52-2.53
Se 0.2811 0.7636 0.4437  1 Se 2.37
Se 0.7811 0.7636 0.0563  1 Se 2.37
Se 0.6838 0.4190 0.8156  2 Ge 2.52-2.53
Se 0.7693 0.9385 0.8836  1 Se 2.37
Se 0.8162 0.5810 0.3156  2 Ge 2.52-2.53
Se 0.2189 0.2364 0.9437  1 Se 2.37
Se 0.3162 0.5810 0.1844  2 Ge 2.52-2.53
Se 0.7307 0.0615 0.3836  1 Se 2.37
Se 0.2307 0.0615 0.1164  1 Se 2.37
Se 0.7189 0.2364 0.5563  1 Se 2.37

---

# 4
Computed, not measured: crystalline K2YPb at its relaxed geometry at the GGA-PBE level of DFT.

## Properties
Its total energy is -2.891 eV per atom. For the formation enthalpy at 0 K, the calculation gives 200 meV/atom.

Cell lengths 3.6861, 6.3122, 6.6720 Å; angles 90.00, 90.00, 90.00 degrees
With the nearest neighbours (Å) after each atom.
Fractional coordinates of all 4 atoms:
K 0.0000 0.0000 0.0154  1 K 3.13
K 0.0000 0.0000 0.4846  1 K 3.13
Pb 0.5000 0.5000 0.2500  2 Y 3.34, 2 Pb 3.69
Y 0.5000 0.5000 0.7500  2 Pb 3.34, 2 Y 3.69